DFT (PBE+U) results for a geometry-optimized TeWF2 structure.

Geometry as CIF:
```
data_TeWF2
_chemical_formula_sum 'Te4 W4 F8'
_cell_length_a 6.453
_cell_length_b 6.453
_cell_length_c 6.453
_cell_angle_alpha 90.00
_cell_angle_beta 90.00
_cell_angle_gamma 90.00
_space_group_name_H-M_alt 'F m -3 m'
_space_group_IT_number 225
_space_group_name_Hall '-F 4 2 3'
loop_
_atom_site_label
_atom_site_fract_x
_atom_site_fract_y
_atom_site_fract_z
Te1 0.000 0.000 0.000
W1 0.000 0.000 0.500
F1 0.250 0.250 0.250
```

Results
Crystal system: cubic
Calculated volume (Å³/cell): 269
Magnetization (μB/cell): 11.8
Raw total energy (eV per atom): -3.8132